Entry 1:
Below is a geometry-optimized Th6Te3AsC2 structure, with properties calculated at the PBE level.

Calculated values
The crystal system is monoclinic. The total DFT energy (no corrections) comes out at -7.365 eV/atom.

```
data_Th6Te3AsC2
_chemical_formula_sum 'Th12 Te6 As2 C4'
_cell_length_a 18.8414
_cell_length_b 4.0460
_cell_length_c 8.8133
_cell_angle_alpha 90.00
_cell_angle_beta 108.41
_cell_angle_gamma 90.00
_space_group_name_H-M_alt 'C 1 2/m 1'
_space_group_IT_number 12
_space_group_name_Hall '-C 2y'
loop_
_atom_site_label
_atom_site_type_symbol
_atom_site_fract_x
_atom_site_fract_y
_atom_site_fract_z
_atom_site_occupancy
Th1 Th 0.0266 0.0000 0.2493 1
Th2 Th 0.1673 0.5000 0.1392 1
Th3 Th 0.1822 0.5000 0.5509 1
Te1 Te 0.0000 0.5000 0.5000 1
Te2 Te 0.1591 0.0000 0.8345 1
As1 As 0.0000 0.5000 0.0000 1
C1 C 0.1726 0.0000 0.3383 1
```


Entry 2:
Below is a geometry-optimized Th8Te4As3C structure, with properties calculated at the PBE level.

Calculated values
The crystal system is trigonal. The total DFT energy (no corrections) comes out at -7.064 eV/atom.

```
data_Th8Te4As3C
_chemical_formula_sum 'Th24 Te12 As9 C3'
_cell_length_a 8.4436
_cell_length_b 8.4436
_cell_length_c 22.1608
_cell_angle_alpha 90.00
_cell_angle_beta 90.00
_cell_angle_gamma 120.00
_space_group_name_H-M_alt 'R -3 m'
_space_group_IT_number 166
_space_group_name_Hall '-R 3 2"'
loop_
_atom_site_label
_atom_site_type_symbol
_atom_site_fract_x
_atom_site_fract_y
_atom_site_fract_z
_atom_site_occupancy
Th1 Th 0.0000 0.0000 0.2399 1
Th2 Th 0.0299 0.5150 0.2344 1
Te1 Te 0.0000 0.0000 0.0000 1
Te2 Te 0.0000 0.5000 0.0000 1
As1 As 0.0000 0.5000 0.5000 1
C1 C 0.0000 0.0000 0.5000 1
```


Entry 3:
Below is a geometry-optimized Y8Te4As3C structure, with properties calculated at the PBE level.

Calculated values
The crystal system is trigonal. The total DFT energy (no corrections) comes out at -6.814 eV/atom.

```
data_Y8Te4As3C
_chemical_formula_sum 'Y24 Te12 As9 C3'
_cell_length_a 8.2715
_cell_length_b 8.2715
_cell_length_c 21.1144
_cell_angle_alpha 90.00
_cell_angle_beta 90.00
_cell_angle_gamma 120.00
_space_group_name_H-M_alt 'R -3 m'
_space_group_IT_number 166
_space_group_name_Hall '-R 3 2"'
loop_
_atom_site_label
_atom_site_type_symbol
_atom_site_fract_x
_atom_site_fract_y
_atom_site_fract_z
_atom_site_occupancy
Y1 Y 0.0000 0.0000 0.2395 1
Y2 Y 0.0268 0.5134 0.2350 1
Te1 Te 0.0000 0.0000 0.0000 1
Te2 Te 0.0000 0.5000 0.0000 1
As1 As 0.0000 0.5000 0.5000 1
C1 C 0.0000 0.0000 0.5000 1
```


Entry 4:
Below is a geometry-optimized Y8Te3As3C structure, with properties calculated at the PBE level.

Calculated values
The crystal system is trigonal. The total DFT energy (no corrections) comes out at -6.834 eV/atom.

```
data_Y8Te3As3C
_chemical_formula_sum 'Y24 Te9 As9 C3'
_cell_length_a 8.2405
_cell_length_b 8.2405
_cell_length_c 21.3284
_cell_angle_alpha 90.00
_cell_angle_beta 90.00
_cell_angle_gamma 120.00
_space_group_name_H-M_alt 'R -3 m'
_space_group_IT_number 166
_space_group_name_Hall '-R 3 2"'
loop_
_atom_site_label
_atom_site_type_symbol
_atom_site_fract_x
_atom_site_fract_y
_atom_site_fract_z
_atom_site_occupancy
Y1 Y 0.0000 0.0000 0.2380 1
Y2 Y 0.0375 0.5188 0.2323 1
Te1 Te 0.0000 0.5000 0.0000 1
As1 As 0.0000 0.5000 0.5000 1
C1 C 0.0000 0.0000 0.5000 1
```


Entry 5:
Below is a geometry-optimized Th8AsC6 structure, with properties calculated at the PBE level.

Calculated values
Its formation energy is -134 meV per atom. The crystal system is trigonal. The total DFT energy (no corrections) comes out at -8.091 eV/atom.

```
data_Th8AsC6
_chemical_formula_sum 'Th24 As3 C18'
_cell_length_a 10.1760
_cell_length_b 10.1760
_cell_length_c 11.8471
_cell_angle_alpha 90.00
_cell_angle_beta 90.00
_cell_angle_gamma 120.00
_space_group_name_H-M_alt 'R -3'
_space_group_IT_number 148
_space_group_name_Hall '-R 3'
loop_
_atom_site_label
_atom_site_type_symbol
_atom_site_fract_x
_atom_site_fract_y
_atom_site_fract_z
_atom_site_occupancy
Th1 Th 0.0000 0.0000 0.2401 1
Th2 Th 0.0254 0.2927 0.0889 1
As1 As 0.0000 0.0000 0.5000 1
C1 C 0.0112 0.2005 0.8841 1
```


Entry 6:
Below is a geometry-optimized Th3As2C structure, with properties calculated at the PBE level.

Calculated values
Its formation energy is -929 meV per atom. The crystal system is tetragonal. The value obtained for the polymorph energy (0 for the lowest one) is 34 meV per atom. The total DFT energy (no corrections) comes out at -7.726 eV/atom.

```
data_Th3As2C
_chemical_formula_sum 'Th6 As4 C2'
_cell_length_a 4.1340
_cell_length_b 4.1340
_cell_length_c 17.3833
_cell_angle_alpha 90.00
_cell_angle_beta 90.00
_cell_angle_gamma 90.00
_space_group_name_H-M_alt 'I 4/m m m'
_space_group_IT_number 139
_space_group_name_Hall '-I 4 2'
loop_
_atom_site_label
_atom_site_type_symbol
_atom_site_fract_x
_atom_site_fract_y
_atom_site_fract_z
_atom_site_occupancy
Th1 Th 0.0000 0.0000 0.0000 1
Th2 Th 0.0000 0.0000 0.3521 1
As1 As 0.0000 0.0000 0.1721 1
C1 C 0.0000 0.0000 0.5000 1
```


Entry 7:
Below is a geometry-optimized Th4AsC2 structure, with properties calculated at the PBE level.

Calculated values
Its formation energy is -548 meV per atom. The crystal system is orthorhombic. The total DFT energy (no corrections) comes out at -8.087 eV/atom.

```
data_Th4AsC2
_chemical_formula_sum 'Th16 As4 C8'
_cell_length_a 3.9058
_cell_length_b 12.8239
_cell_length_c 12.7337
_cell_angle_alpha 90.00
_cell_angle_beta 90.00
_cell_angle_gamma 90.00
_space_group_name_H-M_alt 'C m c m'
_space_group_IT_number 63
_space_group_name_Hall '-C 2c 2'
loop_
_atom_site_label
_atom_site_type_symbol
_atom_site_fract_x
_atom_site_fract_y
_atom_site_fract_z
_atom_site_occupancy
Th1 Th 0.0000 0.0000 0.0000 1
Th2 Th 0.0000 0.2716 0.1131 1
Th3 Th 0.0000 0.4249 0.7500 1
As1 As 0.0000 0.0974 0.7500 1
C1 C 0.0000 0.3575 0.5612 1
```


Entry 8:
Below is a geometry-optimized Th3As2C structure, with properties calculated at the PBE level.

Calculated values
Its formation energy is -963 meV per atom. The crystal system is monoclinic. The value obtained for the polymorph energy (0 for the lowest one) is 0 meV per atom. The total DFT energy (no corrections) comes out at -7.760 eV/atom.

```
data_Th3As2C
_chemical_formula_sum 'Th12 As8 C4'
_cell_length_a 13.1676
_cell_length_b 5.8836
_cell_length_c 7.9907
_cell_angle_alpha 90.00
_cell_angle_beta 107.66
_cell_angle_gamma 90.00
_space_group_name_H-M_alt 'C 1 2/c 1'
_space_group_IT_number 15
_space_group_name_Hall '-C 2yc'
loop_
_atom_site_label
_atom_site_type_symbol
_atom_site_fract_x
_atom_site_fract_y
_atom_site_fract_z
_atom_site_occupancy
Th1 Th 0.0000 0.0184 0.2500 1
Th2 Th 0.1429 0.5002 0.0714 1
As1 As 0.1748 0.0002 0.0873 1
C1 C 0.0000 0.4722 0.2500 1
```


Entry 9:
Below is a geometry-optimized Th6AsC4 structure, with properties calculated at the PBE level.

Calculated values
Its formation energy is -483 meV per atom. The crystal system is orthorhombic. The total DFT energy (no corrections) comes out at -8.307 eV/atom.

```
data_Th6AsC4
_chemical_formula_sum 'Th24 As4 C16'
_cell_length_a 3.8566
_cell_length_b 12.5942
_cell_length_c 19.6620
_cell_angle_alpha 90.00
_cell_angle_beta 90.00
_cell_angle_gamma 90.00
_space_group_name_H-M_alt 'C m c m'
_space_group_IT_number 63
_space_group_name_Hall '-C 2c 2'
loop_
_atom_site_label
_atom_site_type_symbol
_atom_site_fract_x
_atom_site_fract_y
_atom_site_fract_z
_atom_site_occupancy
Th1 Th 0.0000 0.0000 0.0000 1
Th2 Th 0.0000 0.1499 0.2500 1
Th3 Th 0.0000 0.2769 0.5789 1
Th4 Th 0.0000 0.4538 0.1513 1
As1 As 0.0000 0.1662 0.7500 1
C1 C 0.0000 0.0835 0.1275 1
C2 C 0.0000 0.3591 0.0395 1
```


Entry 10:
Below is a geometry-optimized Th2AsC2 structure, with properties calculated at the PBE level.

Calculated values
Its formation energy is -739 meV per atom. The crystal system is monoclinic. The total DFT energy (no corrections) comes out at -8.326 eV/atom.

```
data_Th2AsC2
_chemical_formula_sum 'Th8 As4 C8'
_cell_length_a 14.2117
_cell_length_b 4.2743
_cell_length_c 6.9005
_cell_angle_alpha 90.00
_cell_angle_beta 102.52
_cell_angle_gamma 90.00
_space_group_name_H-M_alt 'C 1 2/c 1'
_space_group_IT_number 15
_space_group_name_Hall '-C 2yc'
loop_
_atom_site_label
_atom_site_type_symbol
_atom_site_fract_x
_atom_site_fract_y
_atom_site_fract_z
_atom_site_occupancy
Th1 Th 0.1378 0.2291 0.1552 1
As1 As 0.0000 0.2726 0.7500 1
C1 C 0.2230 0.3635 0.5313 1
```